# 1
VASP calculation (PBE) on a relaxed AlMoP2 crystal.

Results
Crystal system = orthorhombic
SG = Cmm2 (35)
Relative energy among the computed polymorphs = 0.3847 eV/atom
Calculated formation energy = 0.13 eV per atom

Cell: 2.7939 2.7939 9.4812 Å, 90.00 90.00 106.72°
Element x y z (fractional)
Al (0.0000, 0.0000, 0.5139)
P (0.0000, 0.0000, 0.9266)
P (0.5000, 0.5000, 0.3203)
Mo (0.5000, 0.5000, 0.7391)

# 2
VASP calculation (PBE) on a relaxed Al2MoP crystal.

Results
Crystal system = orthorhombic
SG = Amm2 (38)
Calculated formation energy = -0.31 eV per atom

Cell: 3.4424 3.5628 5.4046 Å, 70.78 90.00 90.00°
Element x y z (fractional)
P (0.5000, 0.5346, 0.8049)
Al (0.5000, 0.2973, 0.2808)
Al (0.0000, 0.9702, 0.9346)
Mo (0.0000, 0.6980, 0.4797)

# 3
VASP calculation (PBE) on a relaxed Al2MoP crystal.

Results
Crystal system = orthorhombic
SG = Cmmm (65)
Calculated formation energy = -0.06 eV per atom

Cell: 4.6007 4.6007 3.0685 Å, 90.00 90.00 112.99°
Element x y z (fractional)
Al (0.0000, 0.0000, 0.0000)
Al (0.5000, 0.5000, 0.0000)
Mo (0.5000, 0.0000, 0.5000)
P (0.0000, 0.5000, 0.5000)

# 4
VASP calculation (PBE) on a relaxed AlMoP2 crystal.

Results
Crystal system = cubic
SG = Fm-3m (225)
Relative energy among the computed polymorphs = 0.2662 eV/atom
Calculated formation energy = 0.01 eV per atom

Cell: 4.3007 4.3007 4.3007 Å, 60.00 60.00 60.00°
Element x y z (fractional)
P (0.2500, 0.2500, 0.2500)
P (0.7500, 0.7500, 0.7500)
Mo (0.5000, 0.5000, 0.5000)
Al (0.0000, 0.0000, 0.0000)

# 5
VASP calculation (PBE) on a relaxed Al2MoP crystal.

Results
Crystal system = orthorhombic
SG = Cmmm (65)
Calculated formation energy = 0.06 eV per atom

Cell: 2.7850 2.7850 8.1283 Å, 90.00 90.00 104.12°
Element x y z (fractional)
Al (0.0000, 0.0000, 0.4992)
Al (0.0000, 0.0000, 0.0008)
P (0.5000, 0.5000, 0.7500)
Mo (0.5000, 0.5000, 0.2500)

# 6
VASP calculation (PBE) on a relaxed AlMo2P crystal.

Results
Crystal system = monoclinic
SG = Pm (6)
Relative energy among the computed polymorphs = 0.2134 eV/atom
Calculated formation energy = -0.13 eV per atom

Cell: 4.4863 3.0114 4.8265 Å, 71.73 90.00 90.00°
Element x y z (fractional)
Mo (0.0000, 0.0547, 0.0171)
Mo (0.5000, 0.4221, 0.2816)
Al (0.5000, 0.6901, 0.7456)
P (0.0000, 0.3331, 0.4557)

# 7
VASP calculation (PBE) on a relaxed AlMo2P crystal.

Results
Crystal system = orthorhombic
SG = Immm (71)
Relative energy among the computed polymorphs = 0.2065 eV/atom
Calculated formation energy = -0.13 eV per atom

Cell: 4.8796 4.8796 4.8796 Å, 141.06 122.61 71.54°
Element x y z (fractional)
P (0.7500, 0.2500, 0.5000)
Mo (0.9636, 0.9636, 0.0000)
Mo (0.5364, 0.5364, 0.0000)
Al (0.2500, 0.7500, 0.5000)

# 8
VASP calculation (PBE) on a relaxed AlMoP2 crystal.

Results
Crystal system = monoclinic
SG = P2/m (10)
Relative energy among the computed polymorphs = 0.0242 eV/atom
Calculated formation energy = -0.23 eV per atom

Cell: 3.1430 3.1417 6.2623 Å, 70.63 90.00 90.00°
Element x y z (fractional)
Mo (0.5000, 0.7500, 0.7500)
P (0.0000, 0.4044, 0.5218)
P (0.0000, 0.0956, 0.9782)
Al (0.5000, 0.2500, 0.2500)

# 9
VASP calculation (PBE) on a relaxed AlMo2P crystal.

Results
Crystal system = monoclinic
SG = C2/m (12)
Relative energy among the computed polymorphs = 0.3673 eV/atom
Calculated formation energy = 0.03 eV per atom

Cell: 4.8680 4.8680 2.8700 Å, 78.10 78.10 110.60°
Element x y z (fractional)
Mo (0.5000, 0.5000, 0.0000)
Mo (0.0000, 0.0000, 0.0000)
Al (0.0000, 0.5000, 0.5000)
P (0.5000, 0.0000, 0.5000)

# 10
VASP calculation (PBE) on a relaxed Al2MoP crystal.

Results
Crystal system = tetragonal
SG = P4/mmm (123)
Calculated formation energy = 0.08 eV per atom

Cell: 2.7754 2.7754 7.8647 Å, 90.00 90.00 90.00°
Element x y z (fractional)
Al (0.0000, 0.0000, 0.9952)
Al (0.0000, 0.0000, 0.5048)
Mo (0.5000, 0.5000, 0.2500)
P (0.5000, 0.5000, 0.7500)

# 11
VASP calculation (PBE) on a relaxed AlMo2P crystal.

Results
Crystal system = orthorhombic
SG = Cmmm (65)
Relative energy among the computed polymorphs = 0.2767 eV/atom
Calculated formation energy = -0.06 eV per atom

Cell: 2.9021 2.9021 7.8018 Å, 90.00 90.00 112.86°
Element x y z (fractional)
Mo (0.0000, 0.0000, 0.4745)
Mo (0.0000, 0.0000, 0.0255)
Al (0.5000, 0.5000, 0.7500)
P (0.5000, 0.5000, 0.2500)

# 12
VASP calculation (PBE) on a relaxed AlMoP2 crystal.

Results
Crystal system = tetragonal
SG = I-4m2 (119)
Relative energy among the computed polymorphs = 0.4138 eV/atom
Calculated formation energy = 0.15 eV per atom

Cell: 5.0389 5.0389 5.0389 Å, 137.60 137.60 61.52°
Element x y z (fractional)
Mo (0.7500, 0.2500, 0.5000)
P (0.0000, 0.0000, 0.0000)
P (0.2500, 0.7500, 0.5000)
Al (0.5000, 0.5000, 0.0000)